Entry 1:
# PmTiRuO6, relaxed, DFT PBE
data_PmTiRuO6
_chemical_formula_sum 'Pm2 Ti2 Ru2 O12'
_cell_length_a 4.875
_cell_length_b 4.875
_cell_length_c 9.593
_cell_angle_alpha 90.00
_cell_angle_beta 90.00
_cell_angle_gamma 90.00
_symmetry_space_group_name_H-M 'P 1'
_symmetry_Int_Tables_number 1
loop_
_symmetry_equiv_pos_as_xyz
'x,y,z'
loop_
_atom_site_label
_atom_site_fract_x
_atom_site_fract_y
_atom_site_fract_z
_atom_site_occupancy
O1 0.830 0.170 0.502 1
O2 0.289 0.289 0.691 1
O3 0.670 0.670 0.002 1
O4 0.211 0.789 0.191 1
O5 0.711 0.711 0.691 1
O6 0.789 0.211 0.191 1
O7 0.711 0.711 0.309 1
O8 0.289 0.289 0.309 1
O9 0.211 0.789 0.809 1
O10 0.330 0.330 0.002 1
O11 0.170 0.830 0.502 1
O12 0.789 0.211 0.809 1
Ti1 0.000 0.000 0.331 1
Ti2 0.500 0.500 0.831 1
Pm1 0.500 0.500 0.498 1
Pm2 0.000 0.000 0.998 1
Ru1 0.000 0.000 0.668 1
Ru2 0.500 0.500 0.168 1
# - ΔE_f (raw) (eV/f.u.) = -19.76
# - space-group type = P4_2nm, No. 102

---

Entry 2:
# SnC2O, relaxed, DFT PBE
data_SnC2O
_chemical_formula_sum 'Sn1 C2 O1'
_cell_length_a 3.970
_cell_length_b 3.970
_cell_length_c 3.970
_cell_angle_alpha 60.00
_cell_angle_beta 60.00
_cell_angle_gamma 60.00
_symmetry_space_group_name_H-M 'P 1'
_symmetry_Int_Tables_number 1
loop_
_symmetry_equiv_pos_as_xyz
'x,y,z'
loop_
_atom_site_label
_atom_site_fract_x
_atom_site_fract_y
_atom_site_fract_z
_atom_site_occupancy
C1 0.250 0.250 0.250 1
C2 0.750 0.750 0.750 1
O1 0.000 0.000 0.000 1
Sn1 0.500 0.500 0.500 1
# - ΔE_f (raw) (eV/f.u.) = 9.63
# - space-group type = Fm-3m, No. 225

---

Entry 3:
# Sc4TcBi, relaxed, DFT PBE
data_Sc4TcBi
_chemical_formula_sum 'Sc8 Tc2 Bi2'
_cell_length_a 6.530
_cell_length_b 6.523
_cell_length_c 8.295
_cell_angle_alpha 108.38
_cell_angle_beta 113.18
_cell_angle_gamma 90.00
_symmetry_space_group_name_H-M 'P 1'
_symmetry_Int_Tables_number 1
loop_
_symmetry_equiv_pos_as_xyz
'x,y,z'
loop_
_atom_site_label
_atom_site_fract_x
_atom_site_fract_y
_atom_site_fract_z
_atom_site_occupancy
Tc1 0.500 0.000 0.500 1
Tc2 0.000 0.500 0.500 1
Sc1 0.358 0.382 0.711 1
Sc2 0.858 0.881 0.710 1
Sc3 0.353 0.882 0.711 1
Sc4 0.149 0.619 0.290 1
Sc5 0.642 0.618 0.289 1
Sc6 0.142 0.119 0.290 1
Sc7 0.851 0.381 0.710 1
Sc8 0.647 0.118 0.289 1
Bi1 0.249 0.250 0.000 1
Bi2 0.751 0.750 0.000 1
# - calculated formation energy (meV/atom) = -212
# - space-group type = C2/c, No. 15

---

Entry 4:
# CsZrAsSe2, relaxed, DFT PBE
data_CsZrAsSe2
_chemical_formula_sum 'Cs1 Zr1 As1 Se2'
_cell_length_a 5.545
_cell_length_b 5.545
_cell_length_c 5.656
_cell_angle_alpha 90.00
_cell_angle_beta 90.00
_cell_angle_gamma 90.00
_symmetry_space_group_name_H-M 'P 1'
_symmetry_Int_Tables_number 1
loop_
_symmetry_equiv_pos_as_xyz
'x,y,z'
loop_
_atom_site_label
_atom_site_fract_x
_atom_site_fract_y
_atom_site_fract_z
_atom_site_occupancy
Cs1 0.000 0.000 0.000 1
Se1 0.500 0.000 0.000 1
Se2 0.000 0.500 0.000 1
Zr1 0.500 0.500 0.500 1
As1 0.000 0.000 0.500 1
# - ΔE_f (raw) (eV/f.u.) = 7.06
# - space-group type = P4/mmm, No. 123

---

Entry 5:
# La3CeFe, relaxed, DFT PBE
data_La3CeFe
_chemical_formula_sum 'La6 Ce2 Fe2'
_cell_length_a 3.748
_cell_length_b 11.221
_cell_length_c 7.088
_cell_angle_alpha 90.00
_cell_angle_beta 94.19
_cell_angle_gamma 90.00
_symmetry_space_group_name_H-M 'P 1'
_symmetry_Int_Tables_number 1
loop_
_symmetry_equiv_pos_as_xyz
'x,y,z'
loop_
_atom_site_label
_atom_site_fract_x
_atom_site_fract_y
_atom_site_fract_z
_atom_site_occupancy
La1 0.832 0.491 0.215 1
La2 0.388 0.250 0.560 1
La3 0.612 0.750 0.440 1
La4 0.168 0.509 0.785 1
La5 0.168 0.991 0.785 1
La6 0.832 0.009 0.215 1
Ce1 0.643 0.750 0.928 1
Ce2 0.357 0.250 0.072 1
Fe1 0.179 0.750 0.118 1
Fe2 0.821 0.250 0.882 1
# - calculated formation energy (meV/atom) = 17
# - space-group type = P2_1/m, No. 11

---

Entry 6:
# KLiTa2, relaxed, DFT PBE
data_KLiTa2
_chemical_formula_sum 'K1 Li1 Ta2'
_cell_length_a 2.998
_cell_length_b 2.998
_cell_length_c 11.110
_cell_angle_alpha 90.00
_cell_angle_beta 90.00
_cell_angle_gamma 111.10
_symmetry_space_group_name_H-M 'P 1'
_symmetry_Int_Tables_number 1
loop_
_symmetry_equiv_pos_as_xyz
'x,y,z'
loop_
_atom_site_label
_atom_site_fract_x
_atom_site_fract_y
_atom_site_fract_z
_atom_site_occupancy
Ta1 0.000 0.000 0.013 1
Ta2 0.500 0.500 0.201 1
Li1 0.500 0.500 0.795 1
K1 0.000 0.000 0.491 1
# - calculated formation energy (meV/atom) = 585
# - space-group type = Cmm2, No. 35

---

Entry 7:
# K4RbAs2, relaxed, DFT PBE
data_K4RbAs2
_chemical_formula_sum 'K4 Rb1 As2'
_cell_length_a 5.853
_cell_length_b 5.853
_cell_length_c 11.715
_cell_angle_alpha 75.53
_cell_angle_beta 75.53
_cell_angle_gamma 60.00
_symmetry_space_group_name_H-M 'P 1'
_symmetry_Int_Tables_number 1
loop_
_symmetry_equiv_pos_as_xyz
'x,y,z'
loop_
_atom_site_label
_atom_site_fract_x
_atom_site_fract_y
_atom_site_fract_z
_atom_site_occupancy
K1 0.200 0.200 0.399 1
K2 0.800 0.800 0.601 1
K3 0.421 0.421 0.738 1
K4 0.579 0.579 0.262 1
As1 0.900 0.900 0.299 1
As2 0.100 0.100 0.701 1
Rb1 0.000 0.000 0.000 1
# - calculated formation energy (meV/atom) = -244
# - space-group type = R-3m, No. 166

---

Entry 8:
# Y5HoPd2, relaxed, DFT PBE
data_Y5HoPd2
_chemical_formula_sum 'Y10 Ho2 Pd4'
_cell_length_a 3.786
_cell_length_b 6.885
_cell_length_c 18.395
_cell_angle_alpha 90.00
_cell_angle_beta 90.00
_cell_angle_gamma 105.96
_symmetry_space_group_name_H-M 'P 1'
_symmetry_Int_Tables_number 1
loop_
_symmetry_equiv_pos_as_xyz
'x,y,z'
loop_
_atom_site_label
_atom_site_fract_x
_atom_site_fract_y
_atom_site_fract_z
_atom_site_occupancy
Y1 0.054 0.109 0.087 1
Y2 0.946 0.891 0.587 1
Y3 0.330 0.660 0.057 1
Y4 0.330 0.660 0.443 1
Y5 0.450 0.899 0.750 1
Y6 0.054 0.109 0.413 1
Y7 0.670 0.340 0.557 1
Y8 0.946 0.891 0.913 1
Y9 0.550 0.101 0.250 1
Y10 0.670 0.340 0.943 1
Ho1 0.278 0.557 0.250 1
Ho2 0.722 0.443 0.750 1
Pd1 0.708 0.416 0.362 1
Pd2 0.292 0.584 0.638 1
Pd3 0.708 0.416 0.138 1
Pd4 0.292 0.584 0.862 1
# - calculated formation energy (meV/atom) = -370
# - space-group type = Cmcm, No. 63

---

Entry 9:
# YReW, relaxed, DFT PBE
data_YReW
_chemical_formula_sum 'Y1 Re1 W1'
_cell_length_a 4.508
_cell_length_b 4.508
_cell_length_c 4.508
_cell_angle_alpha 60.00
_cell_angle_beta 60.00
_cell_angle_gamma 60.00
_symmetry_space_group_name_H-M 'P 1'
_symmetry_Int_Tables_number 1
loop_
_symmetry_equiv_pos_as_xyz
'x,y,z'
loop_
_atom_site_label
_atom_site_fract_x
_atom_site_fract_y
_atom_site_fract_z
_atom_site_occupancy
W1 0.000 0.000 0.000 1
Re1 0.750 0.750 0.750 1
Y1 0.500 0.500 0.500 1
# - calculated formation energy (meV/atom) = 661
# - space-group type = F-43m, No. 216

---

Entry 10:
# Th2AlGe, relaxed, DFT PBE
data_Th2AlGe
_chemical_formula_sum 'Th2 Al1 Ge1'
_cell_length_a 3.868
_cell_length_b 3.868
_cell_length_c 6.801
_cell_angle_alpha 90.00
_cell_angle_beta 90.00
_cell_angle_gamma 90.00
_symmetry_space_group_name_H-M 'P 1'
_symmetry_Int_Tables_number 1
loop_
_symmetry_equiv_pos_as_xyz
'x,y,z'
loop_
_atom_site_label
_atom_site_fract_x
_atom_site_fract_y
_atom_site_fract_z
_atom_site_occupancy
Ge1 0.500 0.500 0.000 1
Th1 0.000 0.000 0.761 1
Th2 0.000 0.000 0.239 1
Al1 0.500 0.500 0.500 1
# - calculated formation energy (meV/atom) = -397
# - space-group type = P4/mmm, No. 123

---

Entry 11:
# TaInPb2, relaxed, DFT PBE
data_TaInPb2
_chemical_formula_sum 'Ta1 In1 Pb2'
_cell_length_a 3.915
_cell_length_b 3.915
_cell_length_c 6.378
_cell_angle_alpha 90.00
_cell_angle_beta 90.00
_cell_angle_gamma 90.00
_symmetry_space_group_name_H-M 'P 1'
_symmetry_Int_Tables_number 1
loop_
_symmetry_equiv_pos_as_xyz
'x,y,z'
loop_
_atom_site_label
_atom_site_fract_x
_atom_site_fract_y
_atom_site_fract_z
_atom_site_occupancy
In1 0.500 0.500 0.750 1
Ta1 0.500 0.500 0.250 1
Pb1 0.000 0.000 0.015 1
Pb2 0.000 0.000 0.485 1
# - calculated formation energy (meV/atom) = 483
# - space-group type = P4/mmm, No. 123

---

Entry 12:
# LiMgHg2Pd, relaxed, DFT PBE
data_LiMgHg2Pd
_chemical_formula_sum 'Li1 Mg1 Hg2 Pd1'
_cell_length_a 4.750
_cell_length_b 4.750
_cell_length_c 4.473
_cell_angle_alpha 90.00
_cell_angle_beta 90.00
_cell_angle_gamma 90.00
_symmetry_space_group_name_H-M 'P 1'
_symmetry_Int_Tables_number 1
loop_
_symmetry_equiv_pos_as_xyz
'x,y,z'
loop_
_atom_site_label
_atom_site_fract_x
_atom_site_fract_y
_atom_site_fract_z
_atom_site_occupancy
Hg1 0.500 0.000 0.000 1
Hg2 0.000 0.500 0.000 1
Li1 0.000 0.000 0.000 1
Pd1 0.000 0.000 0.500 1
Mg1 0.500 0.500 0.500 1
# - calculated formation energy (meV/atom) = 54
# - space-group type = P4/mmm, No. 123

---

| no. | total magnetization (μB/f.u.) |
| --- | --- |
| 1 | 2.94 |
| 2 | 0.00 |
| 3 | 0.00 |
| 4 | 0.45 |
| 5 | 0.00 |
| 6 | 0.00 |
| 7 | 1.12 |
| 8 | 0.00 |
| 9 | 0.00 |
| 10 | 0.00 |
| 11 | 0.00 |
| 12 | 0.00 |